Ti2ZnGeH: optimized geometry, PBE-GGA.

Values from the calculation:
Energy, eV/atom: -5.33
V, Å³ per cell: 63.6
ρ, kg/m3: 6131
Magnetization, μB per atom: 0.000

```
data_Ti2ZnGeH
_cell_length_a 3.9552
_cell_length_b 3.9552
_cell_length_c 4.0649
_cell_angle_alpha 90.00
_cell_angle_beta 90.00
_cell_angle_gamma 90.00
_space_group_name_H-M_alt 'P 4/m m m'
_space_group_IT_number 123
_space_group_name_Hall '-P 4 2'
loop_
_atom_site_label
_atom_site_type_symbol
_atom_site_fract_x
_atom_site_fract_y
_atom_site_fract_z
_atom_site_occupancy
Ti1 Ti 0.0000 0.5000 0.0000 1
Zn1 Zn 0.0000 0.0000 0.5000 1
Ge1 Ge 0.5000 0.5000 0.5000 1
H1 H 0.0000 0.0000 0.0000 1
```